Entry from Alexandria via LeMat-Bulk: a relaxed structure of HRuO2 (PBE).

Geometry as POSCAR:
```
HRuO2
1.0
0.000 2.476 2.476
2.476 0.000 2.476
2.476 2.476 0.000
Ru O H
1 2 1
Cartesian
2.476 2.476 2.476 Ru
1.238 1.238 1.238 O
3.714 3.714 3.714 O
0.000 0.000 0.000 H
```

Output
ρ   7.3 g/cm3
DOS at the Fermi energy   1.5 states/eV per cell
Uncorrected energy   -5.57 eV/atom
Space-group type   Fm-3m, No. 225